Crystalline MgGaTc3 at its relaxed geometry, computed with GGA-PBE.

Values from the calculation:
- ΔE_f: 1.302 eV per atom
- Symmetry: Pm-3m
- Energy above the most stable polymorph in this dataset: 0 meV per atom
- Energy: -5.842 eV/atom

Structure (POSCAR):
```
MgGaTc3
1.0
4.590 0.000 0.000
0.000 4.590 0.000
0.000 0.000 4.590
Mg Ga Tc
1 1 3
Direct
0.000 0.000 0.000
0.500 0.500 0.500
0.000 0.500 0.500
0.500 0.000 0.500
0.500 0.500 0.000
```

---

Crystalline MgGaTc3 at its relaxed geometry, computed with GGA-PBE.

Values from the calculation:
- ΔE_f: 1.901 eV per atom
- Symmetry: Pm-3m
- Energy above the most stable polymorph in this dataset: 599 meV per atom
- Energy: -5.243 eV/atom

Structure (POSCAR):
```
MgGaTc3
1.0
4.548 0.000 0.000
0.000 4.548 0.000
0.000 0.000 4.548
Mg Ga Tc
1 1 3
Direct
0.000 0.000 0.000
0.500 0.500 0.500
0.000 0.000 0.500
0.000 0.500 0.000
0.500 0.000 0.000
```

---

Crystalline MgGa2Tc2 at its relaxed geometry, computed with GGA-PBE.

Values from the calculation:
- ΔE_f: 0.014 eV per atom
- Symmetry: P4/mbm
- Energy above the most stable polymorph in this dataset: 117 meV per atom
- Energy: -5.662 eV/atom

Structure (POSCAR):
```
MgGa2Tc2
1.0
7.366 0.000 0.000
0.000 7.366 0.000
0.000 0.000 3.009
Mg Ga Tc
2 4 4
Direct
0.000 0.000 0.000
0.500 0.500 0.000
0.176 0.324 0.500
0.324 0.824 0.500
0.676 0.176 0.500
0.824 0.676 0.500
0.119 0.619 0.000
0.381 0.119 0.000
0.619 0.881 0.000
0.881 0.381 0.000
```

---

Crystalline Mg3Ga6Tc at its relaxed geometry, computed with GGA-PBE.

Values from the calculation:
- ΔE_f: 0.004 eV per atom
- Symmetry: C2/m
- Energy: -3.327 eV/atom

Structure (POSCAR):
```
Mg3Ga6Tc
1.0
5.052 -2.695 0.000
5.052 2.695 0.000
-3.589 0.000 6.985
Mg Ga Tc
3 6 1
Direct
0.000 0.000 0.000
0.132 0.132 0.700
0.868 0.868 0.300
0.126 0.613 0.671
0.305 0.305 0.127
0.387 0.874 0.329
0.613 0.126 0.671
0.695 0.695 0.873
0.874 0.387 0.329
0.500 0.500 0.500
```

---

Crystalline Mg5Ga8Tc at its relaxed geometry, computed with GGA-PBE.

Values from the calculation:
- ΔE_f: -0.040 eV per atom
- Symmetry: I-4
- Energy: -3.080 eV/atom

Structure (POSCAR):
```
Mg5Ga8Tc
1.0
-3.829 3.829 4.505
3.829 -3.829 4.505
3.829 3.829 -4.505
Mg Ga Tc
5 8 1
Direct
0.000 0.000 0.000
0.168 0.039 0.593
0.425 0.832 0.871
0.445 0.575 0.407
0.961 0.555 0.129
0.082 0.349 0.425
0.188 0.451 0.893
0.343 0.918 0.267
0.549 0.442 0.737
0.558 0.295 0.107
0.651 0.076 0.733
0.705 0.812 0.263
0.924 0.657 0.575
0.750 0.250 0.500
```

---

Crystalline Mg2GaTc at its relaxed geometry, computed with GGA-PBE.

Values from the calculation:
- ΔE_f: 0.030 eV per atom
- Symmetry: P4/mmm
- Energy: -4.116 eV/atom

Structure (POSCAR):
```
Mg2GaTc
1.0
4.003 0.000 0.000
0.000 4.003 0.000
0.000 0.000 4.150
Mg Ga Tc
2 1 1
Direct
0.000 0.500 0.000
0.500 0.000 0.000
0.000 0.000 0.500
0.500 0.500 0.500
```